(1)
This record from the Alexandria database describes a geometry-optimized SmSn2P2Pd7 structure. The functional is PBE.

Results
V = 18.166 A^3/atom
Crystal system = monoclinic
VASP energy = -65.660 eV/cell

Cell lengths 4.1552, 4.1552, 12.7735 Å; angles 83.83, 83.83, 88.95 degrees
Positions (direct):
Sm (0.0000, 0.0000, 0.0000)
Sn (0.9050, 0.9050, 0.3467)
Sn (0.0950, 0.0950, 0.6533)
P (0.5854, 0.5854, 0.7298)
P (0.4146, 0.4146, 0.2702)
Pd (0.5000, 0.5000, 0.0000)
Pd (0.2944, 0.2944, 0.4538)
Pd (0.7056, 0.7056, 0.5462)
Pd (0.9467, 0.4449, 0.1711)
Pd (0.4449, 0.9467, 0.1711)
Pd (0.5551, 0.0533, 0.8289)
Pd (0.0533, 0.5551, 0.8289)



(2)
This record from the Alexandria database describes a geometry-optimized BeCu2AsC structure. The functional is PBE.

Results
V = 12.641 A^3/atom
Crystal system = tetragonal
VASP energy = -21.438 eV/cell

Cell lengths 4.4529, 3.1875, 4.4529 Å; angles 90.00, 90.00, 90.00 degrees
Positions (direct):
Be (0.0000, 0.0000, 0.0000)
As (0.5000, 0.5000, 0.5000)
C (0.0000, 0.5000, 0.0000)
Cu (0.0000, 0.0000, 0.5000)
Cu (0.5000, 0.0000, 0.0000)



(3)
This record from the Alexandria database describes a geometry-optimized RbSi2Pd2 structure. The functional is PBE.

Results
V = 23.970 A^3/atom
Crystal system = tetragonal
E_form (uncorrected) = -0.323 eV/atom

Cell lengths 4.2037, 4.2037, 7.4051 Å; angles 73.51, 73.51, 90.00 degrees
Positions (direct):
Si (0.3393, 0.3393, 0.3213)
Si (0.6607, 0.6607, 0.6787)
Rb (0.0000, 0.0000, 0.0000)
Pd (0.7500, 0.2500, 0.5000)
Pd (0.2500, 0.7500, 0.5000)



(4)
This record from the Alexandria database describes a geometry-optimized Ta2PbAu structure. The functional is PBE.

Results
V = 19.695 A^3/atom
Crystal system = orthorhombic
VASP energy = -29.114 eV/cell

Cell lengths 3.0628, 3.0628, 8.4716 Å; angles 90.00, 90.00, 97.55 degrees
Positions (direct):
Au (0.5000, 0.5000, 0.2500)
Pb (0.5000, 0.5000, 0.7500)
Ta (0.0000, 0.0000, 0.0191)
Ta (0.0000, 0.0000, 0.4809)



(5)
This record from the Alexandria database describes a geometry-optimized Tl3CuPd2Br9 structure. The functional is PBE.

Results
V = 28.372 A^3/atom
Crystal system = trigonal
E_form (uncorrected) = -0.497 eV/atom

Cell lengths 7.3769, 7.3769, 9.0302 Å; angles 90.00, 90.00, 120.00 degrees
Positions (direct):
Tl (0.3333, 0.6667, 0.6618)
Tl (0.0000, 0.0000, 0.0000)
Tl (0.6667, 0.3333, 0.3382)
Cu (0.0000, 0.0000, 0.5000)
Pd (0.3333, 0.6667, 0.1683)
Pd (0.6667, 0.3333, 0.8317)
Br (0.8343, 0.1657, 0.6655)
Br (0.8343, 0.6686, 0.6655)
Br (0.3314, 0.1657, 0.6655)
Br (0.6686, 0.8343, 0.3345)
Br (0.1657, 0.3314, 0.3345)
Br (0.1657, 0.8343, 0.3345)
Br (0.5000, 0.0000, 0.0000)
Br (0.0000, 0.5000, 0.0000)
Br (0.5000, 0.5000, 0.0000)



(6)
This record from the Alexandria database describes a geometry-optimized Sr3SnBi2 structure. The functional is PBE.

Results
V = 37.951 A^3/atom
Crystal system = orthorhombic
VASP energy = -83.679 eV/cell

Cell lengths 4.9840, 13.4165, 13.6212 Å; angles 90.00, 90.00, 90.00 degrees
Positions (direct):
Sr (0.2500, 0.3820, 0.0504)
Sr (0.7500, 0.6180, 0.9496)
Sr (0.7500, 0.8820, 0.4496)
Sr (0.2500, 0.1180, 0.5504)
Sr (0.2500, 0.7160, 0.2331)
Sr (0.7500, 0.2840, 0.7669)
Sr (0.7500, 0.2160, 0.2669)
Sr (0.2500, 0.7840, 0.7331)
Sr (0.2500, 0.4505, 0.3819)
Sr (0.7500, 0.5495, 0.6181)
Sr (0.7500, 0.9505, 0.1181)
Sr (0.2500, 0.0495, 0.8819)
Sn (0.2500, 0.1329, 0.1221)
Sn (0.7500, 0.8671, 0.8779)
Sn (0.7500, 0.6329, 0.3779)
Sn (0.2500, 0.3671, 0.6221)
Bi (0.2500, 0.7024, 0.5043)
Bi (0.7500, 0.2976, 0.4957)
Bi (0.7500, 0.2024, 0.9957)
Bi (0.2500, 0.7976, 0.0043)
Bi (0.2500, 0.9956, 0.3135)
Bi (0.7500, 0.0044, 0.6865)
Bi (0.7500, 0.4956, 0.1865)
Bi (0.2500, 0.5044, 0.8135)